# CsLaBiW2

An optimized crystal structure of CsLaBiW2 (PBE, Alexandria).

Summary:
Total magnetization in Bohr magnetons per cell: 0.0
Formation enthalpy at 0 K in kJ/mol of atoms: 196
Total energy in hartree per atom: -0.1869

Unit cell a=5.244 b=6.144 c=5.244 alpha=90.00 beta=90.00 gamma=90.00
Element x y z (fractional)
Cs1 0.500 0.500 0.500
Bi1 0.000 0.000 0.000
W1 0.000 0.000 0.500
W2 0.500 0.000 0.000
La1 0.000 0.500 0.000